Crystalline Na5SnTe4 at its relaxed geometry, computed with PBE-GGA.

```
Na5SnTe4
1.0
-2.383 4.980 6.576
2.383 -4.980 6.576
2.383 4.980 -6.576
Na Sn Te
5 1 4
direct
0.000 0.000 0.000
0.137 0.838 0.299
0.461 0.162 0.299
0.539 0.838 0.701
0.863 0.162 0.701
0.500 0.500 0.000
0.206 0.500 0.706
0.269 0.269 0.000
0.731 0.731 0.000
0.794 0.500 0.294
```

Results
E_form (uncorrected): -0.62 eV per atom
SG: No. 71
Total energy: -29.40 eV/f.u.
Total magnetization: 0.000 μB/f.u.